Version i
A plane-wave DFT calculation with PBEsol was carried out for crystalline NiWAu2 at its relaxed geometry.

Calculated values
**Crystal system**: tetragonal
**Fermi-level density of states**: 1.07 states/eV/atom
**Spin magnetization**: 0.160 μB/atom

Cell: 2.7338 4.7408 4.7408 Å, 90.00 90.00 90.00°
Positions (direct):
Ni (0.5000, 0.5000, 0.5000)
W (0.5000, 0.0000, 0.0000)
Au (0.0000, 0.0000, 0.5000)
Au (0.0000, 0.5000, 0.0000)

=====

Version ii
A plane-wave DFT calculation with PBEsol was carried out for crystalline NiWAu2 at its relaxed geometry.

Calculated values
**Crystal system**: tetragonal
**Fermi-level density of states**: 0.55 states/eV/atom
**Spin magnetization**: 0.000 μB/atom

Cell: 4.0139 4.6661 4.0139 Å, 64.53 90.00 115.47°
Positions (direct):
Au (0.2500, 0.5000, 0.2500)
Au (0.7500, 0.5000, 0.7500)
W (0.0000, 0.0000, 0.0000)
Ni (0.5000, 0.0000, 0.5000)

=====

Preferred: version ii; penalty for the next structure: 90 meV per atom.

=====

Version i
A plane-wave DFT calculation with PBEsol was carried out for crystalline Os3Au at its relaxed geometry.

Calculated values
**Crystal system**: orthorhombic
**Fermi-level density of states**: 1.36 states/eV/atom
**Spin magnetization**: 0.169 μB/atom

Cell: 2.6978 2.6978 9.5206 Å, 90.00 90.00 119.36°
Positions (direct):
Au (0.0000, 0.0000, 0.0000)
Os (0.5000, 0.5000, 0.2633)
Os (0.0000, 0.0000, 0.5000)
Os (0.5000, 0.5000, 0.7367)

=====

Version ii
A plane-wave DFT calculation with PBEsol was carried out for crystalline Os3Au at its relaxed geometry.

Calculated values
**Crystal system**: orthorhombic
**Fermi-level density of states**: 1.01 states/eV/atom
**Spin magnetization**: 0.000 μB/atom

Cell: 2.7411 3.8619 5.5147 Å, 90.00 90.00 90.00°
Positions (direct):
Os (0.5000, 0.5000, 0.2658)
Os (0.5000, 0.5000, 0.7342)
Os (0.0000, 0.0000, 0.5000)
Au (0.0000, 0.0000, 0.0000)

=====

Version iii
A plane-wave DFT calculation with PBEsol was carried out for crystalline Os3Au at its relaxed geometry.

Calculated values
**Crystal system**: orthorhombic
**Fermi-level density of states**: 0.86 states/eV/atom
**Spin magnetization**: 0.000 μB/atom

Cell: 2.7583 4.7254 4.7254 Å, 109.50 90.00 90.00°
Positions (direct):
Os (0.5000, 0.0000, 0.5000)
Os (0.0000, 0.5000, 0.5000)
Os (0.5000, 0.5000, 0.0000)
Au (0.0000, 0.0000, 0.0000)

=====

Preferred: version ii; penalty for the next structure: 100 meV per atom.

=====

Version i
A plane-wave DFT calculation with PBEsol was carried out for crystalline Os2Au at its relaxed geometry.

Calculated values
**Crystal system**: tetragonal
**Fermi-level density of states**: 0.78 states/eV/atom
**Spin magnetization**: 0.000 μB/atom

Cell: 2.7818 2.7818 6.1501 Å, 103.07 103.07 90.00°
Positions (direct):
Os (0.3206, 0.3206, 0.6412)
Os (0.6794, 0.6794, 0.3588)
Au (0.0000, 0.0000, 0.0000)

=====

Version ii
A plane-wave DFT calculation with PBEsol was carried out for crystalline Os2Au at its relaxed geometry.

Calculated values
**Crystal system**: hexagonal
**Fermi-level density of states**: 1.16 states/eV/atom
**Spin magnetization**: 0.000 μB/atom

Cell: 2.7357 4.3945 4.3945 Å, 120.00 90.00 90.00°
Positions (direct):
Os (0.5000, 0.3333, 0.6667)
Os (0.5000, 0.6667, 0.3333)
Au (0.0000, 0.0000, 0.0000)

=====

Preferred: version i; penalty for the next structure: 404 meV per atom.

=====

Version i
A plane-wave DFT calculation with PBEsol was carried out for crystalline OsAu2 at its relaxed geometry.

Calculated values
**Crystal system**: trigonal
**Fermi-level density of states**: 1.33 states/eV/atom
**Spin magnetization**: 0.176 μB/atom

Cell: 2.6291 4.6023 4.6023 Å, 120.00 90.00 90.00°
Positions (direct):
Os (0.0000, 0.0000, 0.0000)
Au (0.4104, 0.3333, 0.6667)
Au (0.5896, 0.6667, 0.3333)

=====

Version ii
A plane-wave DFT calculation with PBEsol was carried out for crystalline OsAu2 at its relaxed geometry.

Calculated values
**Crystal system**: hexagonal
**Fermi-level density of states**: 1.47 states/eV/atom
**Spin magnetization**: 0.328 μB/atom

Cell: 4.5208 4.5208 5.5017 Å, 90.00 90.00 120.00°
Positions (direct):
Os (0.6667, 0.3333, 0.2500)
Os (0.3333, 0.6667, 0.7500)
Au (0.3333, 0.6667, 0.2500)
Au (0.0000, 0.0000, 0.5000)
Au (0.0000, 0.0000, 0.0000)
Au (0.6667, 0.3333, 0.7500)

=====

Preferred: version i; penalty for the next structure: 137 meV per atom.

=====

Version i
A plane-wave DFT calculation with PBEsol was carried out for crystalline P2OsAu at its relaxed geometry.

Calculated values
**Crystal system**: orthorhombic
**Fermi-level density of states**: 0.80 states/eV/atom
**Spin magnetization**: 0.000 μB/atom

Cell: 2.5898 4.9923 4.9923 Å, 109.00 90.00 90.00°
Positions (direct):
P (0.0000, 0.0000, 0.5000)
P (0.0000, 0.5000, 0.0000)
Au (0.0000, 0.5000, 0.5000)
Os (0.0000, 0.0000, 0.0000)

=====

Version ii
A plane-wave DFT calculation with PBEsol was carried out for crystalline P2OsAu at its relaxed geometry.

Calculated values
**Crystal system**: tetragonal
**Fermi-level density of states**: 0.65 states/eV/atom
**Spin magnetization**: 0.000 μB/atom

Cell: 2.8648 2.8648 7.4465 Å, 90.00 90.00 90.00°
Positions (direct):
Au (0.0000, 0.0000, 0.5021)
Os (0.5000, 0.5000, 0.7864)
P (0.0000, 0.0000, 0.9527)
P (0.5000, 0.5000, 0.2588)

=====

Version iii
A plane-wave DFT calculation with PBEsol was carried out for crystalline P2OsAu at its relaxed geometry.

Calculated values
**Crystal system**: tetragonal
**Fermi-level density of states**: 0.50 states/eV/atom
**Spin magnetization**: 0.000 μB/atom

Cell: 5.4829 5.4829 6.4175 Å, 115.29 115.29 90.00°
Positions (direct):
P (0.4034, 0.8750, 0.2500)
P (0.8466, 0.3750, 0.2500)
P (0.1250, 0.1534, 0.7500)
P (0.6250, 0.5966, 0.7500)
Os (0.7500, 0.2500, 0.5000)
Os (0.5000, 0.5000, 0.0000)
Au (0.2500, 0.7500, 0.5000)
Au (0.0000, 0.0000, 0.0000)

=====

Preferred: version iii; penalty for the next structure: 221 meV per atom.

=====

Version i
A plane-wave DFT calculation with PBEsol was carried out for crystalline OsPb2Au at its relaxed geometry.

Calculated values
**Crystal system**: trigonal
**Fermi-level density of states**: 0.45 states/eV/atom
**Spin magnetization**: 0.000 μB/atom

Cell: 3.2928 3.2928 9.0042 Å, 79.46 79.46 60.00°
Positions (direct):
Au (0.5000, 0.5000, 0.5000)
Pb (0.7452, 0.7452, 0.7645)
Pb (0.2548, 0.2548, 0.2355)
Os (0.0000, 0.0000, 0.0000)

=====

Version ii
A plane-wave DFT calculation with PBEsol was carried out for crystalline OsPb2Au at its relaxed geometry.

Calculated values
**Crystal system**: monoclinic
**Fermi-level density of states**: 0.69 states/eV/atom
**Spin magnetization**: 0.000 μB/atom

Cell: 3.2165 5.0064 5.0064 Å, 89.97 90.14 90.14°
Positions (direct):
Pb (0.0000, 0.0000, 0.5000)
Pb (0.0000, 0.5000, 0.0000)
Au (0.5000, 0.0000, 0.0000)
Os (0.5000, 0.5000, 0.5000)

=====

Preferred: version i; penalty for the next structure: 78 meV per atom.